Run A
# Sc2NiCl, optimized geometry, DFT PBE-GGA
# Space group: P4mm
# Total moment (μB/atom): 0.12
data_Sc2NiCl
_cell_length_a 3.194
_cell_length_b 3.194
_cell_length_c 8.578
_cell_angle_alpha 90.00
_cell_angle_beta 90.00
_cell_angle_gamma 90.00
_space_group_name_H-M_alt 'P 1'
_space_group_IT_number 1
loop_
_space_group_symop_operation_xyz
'x,y,z'
loop_
_atom_site_label
_atom_site_type_symbol
_atom_site_fract_x
_atom_site_fract_y
_atom_site_fract_z
Sc1 Sc 0.000 0.000 0.000
Sc2 Sc 0.500 0.500 0.304
Ni1 Ni 0.500 0.500 0.847
Cl1 Cl 0.000 0.000 0.474

Run B
# Sc2NiCl, optimized geometry, DFT PBE-GGA
# Space group: C2/m
# Total moment (μB/atom): 0.00
data_Sc2NiCl
_cell_length_a 4.885
_cell_length_b 4.885
_cell_length_c 3.059
_cell_angle_alpha 99.38
_cell_angle_beta 99.38
_cell_angle_gamma 93.37
_space_group_name_H-M_alt 'P 1'
_space_group_IT_number 1
loop_
_space_group_symop_operation_xyz
'x,y,z'
loop_
_atom_site_label
_atom_site_type_symbol
_atom_site_fract_x
_atom_site_fract_y
_atom_site_fract_z
Sc1 Sc 0.000 0.500 0.000
Sc2 Sc 0.500 0.000 0.000
Ni1 Ni 0.000 0.000 0.500
Cl1 Cl 0.500 0.500 0.500

It turns out run B is the most stable, with the second structure 46 meV per atom higher.

Run A
# Sc2NiCl, optimized geometry, DFT PBE-GGA
# Space group: P4/mmm
# Total moment (μB/atom): 0.00
data_Sc2NiCl
_cell_length_a 3.671
_cell_length_b 3.671
_cell_length_c 5.382
_cell_angle_alpha 90.00
_cell_angle_beta 90.00
_cell_angle_gamma 90.00
_space_group_name_H-M_alt 'P 1'
_space_group_IT_number 1
loop_
_space_group_symop_operation_xyz
'x,y,z'
loop_
_atom_site_label
_atom_site_type_symbol
_atom_site_fract_x
_atom_site_fract_y
_atom_site_fract_z
Sc1 Sc 0.000 0.000 0.000
Sc2 Sc 0.500 0.500 0.500
Ni1 Ni 0.000 0.000 0.500
Cl1 Cl 0.500 0.500 0.000

Run B
# Sc2NiCl, optimized geometry, DFT PBE-GGA
# Space group: F-43m
# Total moment (μB/atom): 0.02
data_Sc2NiCl
_cell_length_a 4.708
_cell_length_b 4.708
_cell_length_c 4.708
_cell_angle_alpha 60.00
_cell_angle_beta 60.00
_cell_angle_gamma 60.00
_space_group_name_H-M_alt 'P 1'
_space_group_IT_number 1
loop_
_space_group_symop_operation_xyz
'x,y,z'
loop_
_atom_site_label
_atom_site_type_symbol
_atom_site_fract_x
_atom_site_fract_y
_atom_site_fract_z
Sc1 Sc 0.000 0.000 0.000
Sc2 Sc 0.250 0.250 0.250
Ni1 Ni 0.750 0.750 0.750
Cl1 Cl 0.500 0.500 0.500

Run C
# Sc2NiCl, optimized geometry, DFT PBE-GGA
# Space group: R-3m
# Total moment (μB/atom): 0.00
data_Sc2NiCl
_cell_length_a 7.253
_cell_length_b 7.253
_cell_length_c 7.253
_cell_angle_alpha 28.65
_cell_angle_beta 28.65
_cell_angle_gamma 28.65
_space_group_name_H-M_alt 'P 1'
_space_group_IT_number 1
loop_
_space_group_symop_operation_xyz
'x,y,z'
loop_
_atom_site_label
_atom_site_type_symbol
_atom_site_fract_x
_atom_site_fract_y
_atom_site_fract_z
Sc1 Sc 0.236 0.236 0.236
Sc2 Sc 0.764 0.764 0.764
Ni1 Ni 0.500 0.500 0.500
Cl1 Cl 0.000 0.000 0.000

It turns out run C is the most stable, with the second structure 127 meV per atom higher.

Run A
# Sc2NiCl, optimized geometry, DFT PBE-GGA
# Space group: Pmmm
# Total moment (μB/atom): 0.00
data_Sc2NiCl
_cell_length_a 3.132
_cell_length_b 3.302
_cell_length_c 7.478
_cell_angle_alpha 90.00
_cell_angle_beta 90.00
_cell_angle_gamma 90.00
_space_group_name_H-M_alt 'P 1'
_space_group_IT_number 1
loop_
_space_group_symop_operation_xyz
'x,y,z'
loop_
_atom_site_label
_atom_site_type_symbol
_atom_site_fract_x
_atom_site_fract_y
_atom_site_fract_z
Sc1 Sc 0.000 0.000 0.204
Sc2 Sc 0.000 0.000 0.796
Ni1 Ni 0.500 0.500 0.000
Cl1 Cl 0.500 0.000 0.500

Run B
# Sc2NiCl, optimized geometry, DFT PBE-GGA
# Space group: Imm2
# Total moment (μB/atom): 0.00
data_Sc2NiCl
_cell_length_a 6.070
_cell_length_b 6.070
_cell_length_c 6.070
_cell_angle_alpha 150.02
_cell_angle_beta 137.89
_cell_angle_gamma 52.55
_space_group_name_H-M_alt 'P 1'
_space_group_IT_number 1
loop_
_space_group_symop_operation_xyz
'x,y,z'
loop_
_atom_site_label
_atom_site_type_symbol
_atom_site_fract_x
_atom_site_fract_y
_atom_site_fract_z
Sc1 Sc 0.000 0.000 0.000
Sc2 Sc 0.727 0.227 0.500
Ni1 Ni 0.508 0.508 0.000
Cl1 Cl 0.222 0.722 0.500

Run C
# Sc2NiCl, optimized geometry, DFT PBE-GGA
# Space group: Immm
# Total moment (μB/atom): 0.00
data_Sc2NiCl
_cell_length_a 4.931
_cell_length_b 4.931
_cell_length_c 4.931
_cell_angle_alpha 136.04
_cell_angle_beta 112.52
_cell_angle_gamma 84.10
_space_group_name_H-M_alt 'P 1'
_space_group_IT_number 1
loop_
_space_group_symop_operation_xyz
'x,y,z'
loop_
_atom_site_label
_atom_site_type_symbol
_atom_site_fract_x
_atom_site_fract_y
_atom_site_fract_z
Sc1 Sc 0.249 0.249 0.000
Sc2 Sc 0.751 0.751 0.000
Ni1 Ni 0.000 0.500 0.500
Cl1 Cl 0.500 0.000 0.500

Run D
# Sc2NiCl, optimized geometry, DFT PBE-GGA
# Space group: R-3m
# Total moment (μB/atom): 0.00
data_Sc2NiCl
_cell_length_a 7.872
_cell_length_b 7.872
_cell_length_c 7.872
_cell_angle_alpha 28.03
_cell_angle_beta 28.03
_cell_angle_gamma 28.03
_space_group_name_H-M_alt 'P 1'
_space_group_IT_number 1
loop_
_space_group_symop_operation_xyz
'x,y,z'
loop_
_atom_site_label
_atom_site_type_symbol
_atom_site_fract_x
_atom_site_fract_y
_atom_site_fract_z
Sc1 Sc 0.110 0.110 0.110
Sc2 Sc 0.890 0.890 0.890
Ni1 Ni 0.500 0.500 0.500
Cl1 Cl 0.000 0.000 0.000

It turns out run A is the most stable, with the second structure 32 meV per atom higher.

Run A
# Sc2NiCl, optimized geometry, DFT PBE-GGA
# Space group: Fm-3m
# Total moment (μB/atom): 0.22
data_Sc2NiCl
_cell_length_a 4.650
_cell_length_b 4.650
_cell_length_c 4.650
_cell_angle_alpha 60.00
_cell_angle_beta 60.00
_cell_angle_gamma 60.00
_space_group_name_H-M_alt 'P 1'
_space_group_IT_number 1
loop_
_space_group_symop_operation_xyz
'x,y,z'
loop_
_atom_site_label
_atom_site_type_symbol
_atom_site_fract_x
_atom_site_fract_y
_atom_site_fract_z
Sc1 Sc 0.250 0.250 0.250
Sc2 Sc 0.750 0.750 0.750
Ni1 Ni 0.000 0.000 0.000
Cl1 Cl 0.500 0.500 0.500

Run B
# Sc2NiCl, optimized geometry, DFT PBE-GGA
# Space group: R-3m
# Total moment (μB/atom): 0.00
data_Sc2NiCl
_cell_length_a 9.196
_cell_length_b 9.196
_cell_length_c 9.196
_cell_angle_alpha 19.53
_cell_angle_beta 19.53
_cell_angle_gamma 19.53
_space_group_name_H-M_alt 'P 1'
_space_group_IT_number 1
loop_
_space_group_symop_operation_xyz
'x,y,z'
loop_
_atom_site_label
_atom_site_type_symbol
_atom_site_fract_x
_atom_site_fract_y
_atom_site_fract_z
Sc1 Sc 0.088 0.088 0.088
Sc2 Sc 0.912 0.912 0.912
Ni1 Ni 0.000 0.000 0.000
Cl1 Cl 0.500 0.500 0.500

It turns out run A is the most stable, with the second structure 168 meV per atom higher.

Run A
# Sc2NiCl, optimized geometry, DFT PBE-GGA
# Space group: Cmmm
# Total moment (μB/atom): 0.00
data_Sc2NiCl
_cell_length_a 4.800
_cell_length_b 4.800
_cell_length_c 3.012
_cell_angle_alpha 90.00
_cell_angle_beta 90.00
_cell_angle_gamma 93.96
_space_group_name_H-M_alt 'P 1'
_space_group_IT_number 1
loop_
_space_group_symop_operation_xyz
'x,y,z'
loop_
_atom_site_label
_atom_site_type_symbol
_atom_site_fract_x
_atom_site_fract_y
_atom_site_fract_z
Sc1 Sc 0.000 0.500 0.000
Sc2 Sc 0.500 0.000 0.000
Ni1 Ni 0.000 0.000 0.500
Cl1 Cl 0.500 0.500 0.500

Run B
# Sc2NiCl, optimized geometry, DFT PBE-GGA
# Space group: I-42d
# Total moment (μB/atom): 0.00
data_Sc2NiCl
_cell_length_a 6.014
_cell_length_b 6.014
_cell_length_c 6.014
_cell_angle_alpha 113.11
_cell_angle_beta 113.11
_cell_angle_gamma 102.41
_space_group_name_H-M_alt 'P 1'
_space_group_IT_number 1
loop_
_space_group_symop_operation_xyz
'x,y,z'
loop_
_atom_site_label
_atom_site_type_symbol
_atom_site_fract_x
_atom_site_fract_y
_atom_site_fract_z
Sc1 Sc 0.107 0.625 0.982
Sc2 Sc 0.375 0.357 0.482
Sc3 Sc 0.643 0.125 0.018
Sc4 Sc 0.875 0.893 0.518
Ni1 Ni 0.000 0.000 0.000
Ni2 Ni 0.750 0.250 0.500
Cl1 Cl 0.250 0.750 0.500
Cl2 Cl 0.500 0.500 0.000

It turns out run A is the most stable, with the second structure 22 meV per atom higher.